(1)
Computed, not measured: an optimized crystal structure of ScSnIN2 at the PBE level of DFT.

abc: 4.1730 4.1730 5.8838
angles: 90.00 90.00 90.00
Closest atoms and distances in Å follow each position.
Sites, in units of the cell vectors:
I 0.0000 0.0000 0.5000  2 Sn 2.94, 4 Sc 2.95
Sc 0.5000 0.5000 0.5000  4 I 2.95
Sn 0.0000 0.0000 0.0000  4 N 2.09
N 0.0000 0.5000 0.0000  2 Sn 2.09
N 0.5000 0.0000 0.0000  2 Sn 2.09

## Properties
- distance to the lowest polymorph of the same formula (meV per atom) = 400
- SG = P4/mmm (123)
- E_form (uncorrected) (eV per atom) = 0.96


(2)
Computed, not measured: an optimized crystal structure of PmTm2Tl at the PBE level of DFT.

abc: 3.5486 3.5486 11.1709
angles: 80.86 80.86 60.00
Closest atoms and distances in Å follow each position.
Sites, in units of the cell vectors:
Tl 0.0000 0.0000 0.0000  6 Tm 3.31, 6 Tl 3.55
Tm 0.2545 0.2545 0.2365  3 Tl 3.31, 3 Pm 3.55, 6 Tm 3.55
Tm 0.7455 0.7455 0.7635  3 Tl 3.31, 3 Pm 3.55, 6 Tm 3.55
Pm 0.5000 0.5000 0.5000  6 Tm 3.55, 6 Pm 3.55

## Properties
- distance to the lowest polymorph of the same formula (meV per atom) = 63
- formation energy from the elements (eV per formula unit) = -0.4
- SG = R-3m (166)


(3)
Computed, not measured: an optimized crystal structure of BeNi2SnH at the PBE level of DFT.

abc: 3.9211 4.5715 3.9211
angles: 90.00 90.00 90.00
Closest atoms and distances in Å follow each position.
Sites, in units of the cell vectors:
Ni 0.0000 0.0000 0.5000  2 Be 1.96
Ni 0.5000 0.0000 0.0000  2 Be 1.96
Sn 0.0000 0.5000 0.0000  2 Be 2.29
H 0.5000 0.5000 0.5000  4 Sn 2.77, 8 Ni 3.01
Be 0.0000 0.0000 0.0000  4 Ni 1.96

## Properties
- final energy (eV/atom) = -3.695
- SG = P4/mmm (123)


| no. | D(E_F) (states/eV/atom) |
| --- | --- |
| 1 | 0.76 |
| 2 | 0.95 |
| 3 | 0.88 |